Entry 1:
The following is a DFT calculation (GGA-PBE) of LiLa2C2N6 after structural relaxation.

The structure belongs to space group P-1 (No. 2); the cell edges are 5.871, 5.874 and 6.383 Å and the angles 67.03°, 67.16° and 72.59°. The asymmetric unit holds Li at (0.000, 0.000, 0.000), La at (0.327, 0.327, 0.309), C at (0.284, 0.283, 0.790), N at (0.065, 0.378, 0.740), N at (0.382, 0.066, 0.738) and N at (0.391, 0.391, 0.870).

Its crystal system is triclinic. As for the final energy: -7.6321 eV/atom.



Entry 2:
The following is a DFT calculation (GGA-PBE) of AcLa2Sm2Dy2 after structural relaxation.

The structure belongs to space group C2/m (No. 12); the cell edges are 11.675, 5.225 and 8.270 Å and the angles 90.00°, 98.26° and 90.00°. The asymmetric unit holds Ac at (0.000, 0.000, 0.000), La at (0.215, 0.500, 0.149), Sm at (0.141, 0.000, 0.431) and Dy at (0.074, 0.500, 0.704).

The formation enthalpy at 0 K comes out at 0.039 eV/atom. Its crystal system is monoclinic. As for the final energy: -4.6194 eV/atom.



Entry 3:
The following is a DFT calculation (GGA-PBE) of HgBi2MoPd after structural relaxation.

The structure belongs to space group P4/mmm (No. 123); the cell edges are 5.284, 5.284 and 5.354 Å and the angles 90.00°, 90.00° and 90.00°. The asymmetric unit holds Hg at (0.000, 0.000, 0.000), Bi at (0.000, 0.500, 0.500), Mo at (0.000, 0.000, 0.500) and Pd at (0.500, 0.500, 0.000).

The formation enthalpy at 0 K comes out at 0.786 eV/atom. Its crystal system is tetragonal. As for the final energy: -4.0315 eV/atom.



Entry 4:
The following is a DFT calculation (GGA-PBE) of Rb2NpBr2F4 after structural relaxation.

The structure belongs to space group I4/mmm (No. 139); the cell edges are 7.137, 7.137 and 10.204 Å and the angles 90.00°, 90.00° and 90.00°. The asymmetric unit holds Rb at (0.000, 0.500, 0.250), Np at (0.000, 0.000, 0.000), Br at (0.000, 0.000, 0.280) and F at (0.210, 0.210, 0.000).

Its crystal system is tetragonal. As for the final energy: -5.4935 eV/atom.